1.
Computed, not measured: YInSi2 after structural relaxation at the PBE-GGA level of DFT.

Unit cell a=4.4941 b=4.4941 c=4.0277 alpha=90.00 beta=90.00 gamma=90.00
Last column: nearest neighbours and their distance in Å.
Space group P4/mmm (No. 123)
Symmetry-distinct sites (fractional):
Y  0.0000  0.0000  0.0000  8 Si 3.02, 4 In 3.18
In  0.5000  0.5000  0.0000  8 Si 3.02, 4 Y 3.18
Si  0.0000  0.5000  0.5000  4 In 3.02, 4 Y 3.02, 4 Si 3.18

Computed properties:
ΔE to the lowest computed polymorph: 0.000 eV per atom

=====

2.
Computed, not measured: YIn2Si after structural relaxation at the PBE-GGA level of DFT.

Unit cell a=4.2248 b=4.0155 c=6.1602 alpha=90.00 beta=110.04 gamma=90.00
Last column: nearest neighbours and their distance in Å.
Space group Pm (No. 6)
Symmetry-distinct sites (fractional):
Y  0.0000  0.0000  0.0000  4 Si 2.96, 2 In 3.24-3.31
In  0.3097  0.5000  0.6172  1 Si 2.73
In  0.7207  0.0000  0.4405  2 Si 2.86, 4 In 3.09
Si  0.5431  0.5000  0.0885  3 In 2.73-2.86, 4 Y 2.96

Computed properties:
ΔE to the lowest computed polymorph: 0.052 eV per atom

=====

3.
Computed, not measured: Y11In6Si4 after structural relaxation at the PBE-GGA level of DFT.

Unit cell a=11.4896 b=11.4896 c=16.2524 alpha=90.00 beta=90.00 gamma=90.00
Last column: nearest neighbours and their distance in Å.
Space group I4/mmm (No. 139)
Symmetry-distinct sites (fractional):
Y  0.0000  0.0000  0.1689  8 In 3.35-3.45, 1 Si 3.42, 4 Y 3.73
Y  0.0000  0.2503  0.3146  3 Si 3.05-3.21, 4 In 3.37-3.42
Y  0.0000  0.3476  0.1012  3 Si 2.98-2.99, 2 In 3.09, 1 Y 3.29
Y  0.1670  0.1670  0.5000  2 Si 2.82
In  0.1289  0.1289  0.0000  4 In 2.96-3.05
In  0.2062  0.2062  0.1709  2 In 2.94-3.05, 2 Y 3.09
Si  0.0000  0.0000  0.3796  9 Y 3.06-3.42
Si  0.0000  0.3471  0.5000  6 Y 2.82-2.98
Si  0.0000  0.5000  0.2500  8 Y 2.99-3.05

=====

Number 1: formation energy without anion corrections -214 meV/atom, spin magnetization 0.00 μB per formula unit, DFT total energy -5.23 eV/atom. Number 2: formation energy without anion corrections -249 meV/atom, spin magnetization 0.00 μB per formula unit, DFT total energy -4.59 eV/atom. Number 3: formation energy without anion corrections -638 meV/atom, spin magnetization 0.00 μB per formula unit, DFT total energy -5.84 eV/atom.